Compound: Mg5Mo3O12
Source: the Alexandria database
Functional: GGA+U
Structure: optimized geometry

Cell lengths 10.365, 10.365, 10.365 Å; angles 109.47, 109.47, 109.47 degrees
Site moments in Bohr magnetons follow the coordinates.
Fractional positions:
Mo 0.750 0.375 0.125  1.61
Mo 0.625 0.375 0.750  1.61
Mo 0.250 0.625 0.875  1.61
Mo 0.125 0.875 0.750  1.61
Mo 0.375 0.625 0.250  1.61
Mo 0.375 0.750 0.625  1.61
Mo 0.250 0.125 0.375  1.61
Mo 0.750 0.875 0.625  1.61
Mo 0.875 0.125 0.250  1.61
Mo 0.625 0.250 0.375  1.61
Mo 0.875 0.750 0.125  1.61
Mo 0.125 0.250 0.875  1.61
O 0.582 0.632 0.406  -0.07
O 0.823 0.918 0.050  -0.07
O 0.823 0.906 0.273  -0.07
O 0.727 0.132 0.050  -0.07
O 0.273 0.868 0.950  -0.07
O 0.273 0.406 0.823  -0.07
O 0.368 0.950 0.773  -0.07
O 0.773 0.450 0.368  -0.07
O 0.227 0.550 0.632  -0.07
O 0.868 0.273 0.450  -0.07
O 0.632 0.582 0.906  -0.07
O 0.773 0.323 0.906  -0.07
O 0.918 0.094 0.868  -0.07
O 0.450 0.677 0.082  -0.07
O 0.050 0.418 0.823  -0.07
O 0.177 0.094 0.727  -0.07
O 0.132 0.406 0.082  -0.07
O 0.418 0.050 0.323  -0.07
O 0.550 0.227 0.132  -0.07
O 0.177 0.082 0.950  -0.07
O 0.450 0.773 0.868  -0.07
O 0.406 0.132 0.582  -0.07
O 0.727 0.594 0.177  -0.07
O 0.094 0.177 0.227  -0.07
O 0.050 0.632 0.727  -0.07
O 0.950 0.368 0.273  -0.07
O 0.132 0.727 0.550  -0.07
O 0.594 0.727 0.677  -0.07
O 0.323 0.550 0.418  -0.07
O 0.323 0.773 0.406  -0.07
O 0.918 0.823 0.550  -0.07
O 0.868 0.594 0.918  -0.07
O 0.950 0.582 0.177  -0.07
O 0.082 0.177 0.450  -0.07
O 0.632 0.050 0.227  -0.07
O 0.094 0.918 0.368  -0.07
O 0.418 0.368 0.594  -0.07
O 0.406 0.273 0.323  -0.07
O 0.368 0.418 0.094  -0.07
O 0.227 0.677 0.094  -0.07
O 0.906 0.823 0.773  -0.07
O 0.677 0.227 0.594  -0.07
O 0.550 0.323 0.918  -0.07
O 0.906 0.082 0.632  -0.07
O 0.594 0.868 0.418  -0.07
O 0.582 0.950 0.677  -0.07
O 0.082 0.906 0.132  -0.07
O 0.677 0.450 0.582  -0.07
Mg 0.500 0.500 0.000  0.00
Mg 0.750 0.125 0.875  0.00
Mg 0.125 0.750 0.375  0.00
Mg 0.625 0.875 0.250  0.00
Mg 0.000 0.000 0.500  0.00
Mg 0.000 0.000 0.000  0.00
Mg 0.500 0.000 0.500  0.00
Mg 0.875 0.250 0.625  0.00
Mg 0.250 0.875 0.125  0.00
Mg 0.375 0.250 0.125  0.00
Mg 0.625 0.750 0.875  0.00
Mg 0.250 0.375 0.625  0.00
Mg 0.500 0.000 0.000  0.00
Mg 0.000 0.500 0.500  0.00
Mg 0.125 0.375 0.250  0.00
Mg 0.500 0.500 0.500  0.00
Mg 0.000 0.500 0.000  0.00
Mg 0.375 0.125 0.750  0.00
Mg 0.750 0.625 0.375  0.00
Mg 0.875 0.625 0.750  0.00

Calculated values
space-group type	Ia-3d (230)
crystal system	cubic
E_tot	-6.34	eV/atom